K2Al2Sn | GGA-PBE | relaxed

POSCAR file:
```
K2Al2Sn
1.0
4.472 0.000 0.000
0.000 4.472 0.000
2.236 2.236 7.774
Al K Sn
2 2 1
direct
0.418 0.418 0.164
0.582 0.582 0.836
0.750 0.250 0.500
0.250 0.750 0.500
0.000 0.000 0.000
```

Offset from the most stable computed form (meV/atom): 328
D(E_F) (states/eV/f.u.): 1.9
Electronic total energy (eV per atom): -2.309
Space group: I4/mmm
ΔH_f (0 K) (eV/atom): 0.428